Density functional theory data (GGA-PBE) for crystalline CsS5F at its relaxed geometry.

The structure in POSCAR format:
```
CsS5F
1.0
8.7092 -0.2060 -2.4345
-2.3736 3.2961 -1.6149
0.0007 0.9877 6.9530
S Cs F
5 1 1
Cartesian
6.0416 2.9770 -3.7175
-0.6434 2.7740 -1.1602
2.4441 3.5604 3.0627
2.2561 1.9530 4.1038
-0.3277 1.9615 0.7013
4.5978 2.5191 0.0400
5.6292 1.4851 2.3437
```

Summary:
Total magnetic moment (μB/cell): 1.26
Energy relative to the elements, uncorrected (eV per atom): -0.533